[1]
A plane-wave DFT calculation with PBE was carried out for AgAs2Br2 after structural relaxation.

Cell: 6.931 6.931 5.233 Å, 90.00 90.00 90.00°
Space group P4/mbm (No. 127)
Unique sites:
Ag1 0.000 0.000 0.000
As1 0.130 0.370 0.000
Br1 0.181 0.319 0.500



[2]
A plane-wave DFT calculation with PBE was carried out for Ag2AsBr after structural relaxation.

- energy above the lowest structure with this stoichiometry (meV/atom) = 215

Cell: 3.292 4.494 6.015 Å, 90.00 90.00 90.00°
Space group Pmmm (No. 47)
Unique sites:
Ag1 0.000 0.000 0.000
Ag2 0.000 0.500 0.500
As1 0.500 0.000 0.500
Br1 0.500 0.500 0.000



no.,VASP energy (eV per cell)
1,-31.20
2,-11.06